Record 1
Material: Zr2CdSi
Method: DFT, GGA-PBE
State: relaxed

abc: 5.1670 5.1670 3.0559
angles: 90.01 90.01 106.12
Last column: nearest neighbours and their distance in Å.
Positions (direct):
Si (0.0000, 0.5000, 0.5000)  8 Zr 3.00, 2 Si 3.06, 2 Cd 3.11
Zr (0.0000, 0.0000, 0.0000)  4 Cd 3.00, 4 Si 3.00, 4 Zr 3.06-3.11
Cd (0.5000, 0.0000, 0.5000)  8 Zr 3.00, 2 Cd 3.06, 2 Si 3.11
Zr (0.5000, 0.5000, 0.0000)  4 Si 3.00, 4 Cd 3.00, 4 Zr 3.06-3.11

Properties
- ΔE_f (raw): -297 meV per atom

---

Record 2
Material: Zr2CdSi
Method: DFT, GGA-PBE
State: relaxed

abc: 7.6231 7.6231 6.1469
angles: 51.68 51.68 90.00
Last column: nearest neighbours and their distance in Å.
Positions (direct):
Si (0.2500, 0.7500, 0.5000)  4 Zr 2.67, 2 Cd 2.95
Zr (0.3750, 0.3987, 0.7500)  2 Si 2.67, 2 Cd 2.92, 2 Zr 2.98
Si (0.5000, 0.5000, 0.0000)  4 Zr 2.67, 2 Cd 2.95
Cd (0.0000, 0.0000, 0.0000)  4 Zr 2.92, 2 Si 2.95
Zr (0.6013, 0.1250, 0.2500)  2 Si 2.67, 2 Cd 2.92, 2 Zr 2.98
Zr (0.1487, 0.6250, 0.2500)  2 Si 2.67, 2 Cd 2.92, 2 Zr 2.98
Zr (0.8750, 0.8513, 0.7500)  2 Si 2.67, 2 Cd 2.92, 2 Zr 2.98
Cd (0.7500, 0.2500, 0.5000)  4 Zr 2.92, 2 Si 2.95

Properties
- ΔE_f (raw): -52 meV per atom

---

Record 3
Material: Zr2CdSi
Method: DFT, GGA-PBE
State: relaxed

abc: 3.7693 3.7693 5.8720
angles: 90.00 90.00 90.00
Last column: nearest neighbours and their distance in Å.
Positions (direct):
Zr (0.0000, 0.0000, 0.9751)  2 Cd 2.82-3.05, 4 Si 2.90, 4 Zr 3.12
Si (0.5000, 0.5000, 0.7787)  6 Zr 2.78-3.09
Zr (0.5000, 0.5000, 0.2519)  2 Si 2.78-3.09, 4 Cd 3.02
Cd (0.0000, 0.0000, 0.4943)  6 Zr 2.82-3.05, 4 Si 3.15

Properties
- ΔE_f (raw): -118 meV per atom

---

Record 4
Material: SmCd4
Method: DFT, GGA-PBE
State: relaxed

abc: 8.6557 8.6557 8.6557
angles: 109.47 109.47 109.47
Last column: nearest neighbours and their distance in Å.
Positions (direct):
Cd (0.2500, 0.5000, 0.7500)  4 Cd 2.92
Cd (0.0000, 0.6520, 0.6520)  7 Cd 2.84-3.04
Cd (0.7500, 0.2500, 0.5000)  4 Cd 2.92
Sm (0.0000, 0.5749, 0.0000)  4 Cd 3.11-3.29
Cd (0.0000, 0.2161, 0.0000)  6 Cd 2.84-3.05, 1 Sm 3.11
Cd (0.2161, 0.0000, 0.0000)  6 Cd 2.84-3.05, 1 Sm 3.11
Cd (0.3480, 0.3480, 0.0000)  7 Cd 2.84-3.04
Sm (0.0000, 0.0000, 0.5749)  4 Cd 3.11-3.29
Cd (0.5000, 0.2500, 0.7500)  4 Cd 2.92
Sm (0.4251, 0.4251, 0.4251)  4 Cd 3.11-3.29
Cd (0.6520, 0.6520, 0.0000)  7 Cd 2.84-3.04
Cd (0.7839, 0.7839, 0.7839)  6 Cd 2.84-3.05, 1 Sm 3.11
Cd (0.0000, 0.3480, 0.3480)  7 Cd 2.84-3.04
Sm (0.5749, 0.0000, 0.0000)  4 Cd 3.11-3.29
Cd (0.2500, 0.7500, 0.5000)  4 Cd 2.92
Cd (0.3480, 0.0000, 0.3480)  7 Cd 2.84-3.04
Cd (0.0000, 0.0000, 0.2161)  6 Cd 2.84-3.05, 1 Sm 3.11
Cd (0.6520, 0.0000, 0.6520)  7 Cd 2.84-3.04
Cd (0.5000, 0.7500, 0.2500)  4 Cd 2.92
Cd (0.7500, 0.5000, 0.2500)  4 Cd 2.92

Properties
- ΔE_f: -0.14 eV per atom

---

Record 5
Material: Sm2Cd3
Method: DFT, GGA-PBE
State: relaxed

abc: 5.1014 5.1014 6.5749
angles: 67.17 67.17 60.00
Last column: nearest neighbours and their distance in Å.
Positions (direct):
Sm (0.4033, 0.4033, 0.7901)  6 Cd 3.19-3.22, 1 Sm 3.41
Cd (0.8107, 0.8107, 0.5679)  4 Cd 3.05-3.34, 3 Sm 3.22
Cd (0.0000, 0.0000, 0.0000)  6 Sm 3.19, 2 Cd 3.34
Sm (0.5967, 0.5967, 0.2099)  6 Cd 3.19-3.22, 1 Sm 3.41
Cd (0.1893, 0.1893, 0.4321)  4 Cd 3.05-3.34, 3 Sm 3.22

Properties
- ΔE_f: -0.26 eV per atom
- Energy above the lowest structure with this stoichiometry: 40.3 meV per atom

---

Record 6
Material: Sm2Cd3
Method: DFT, GGA-PBE
State: relaxed

abc: 3.4918 5.0189 15.1441
angles: 90.00 96.62 90.00
Last column: nearest neighbours and their distance in Å.
Positions (direct):
Cd (0.1200, 0.2500, 0.2400)  3 Cd 2.90-2.98
Sm (0.4261, 0.2500, 0.8521)  12 Cd 3.36-3.46, 2 Sm 3.49
Cd (0.9765, 0.7500, 0.9531)  3 Cd 2.88-2.90
Sm (0.2857, 0.7500, 0.5713)  7 Cd 3.30-3.38, 2 Sm 3.49
Cd (0.8267, 0.2500, 0.6533)  2 Cd 2.98, 4 Sm 3.30
Cd (0.0235, 0.2500, 0.0469)  3 Cd 2.88-2.90
Cd (0.8800, 0.7500, 0.7600)  3 Cd 2.90-2.98
Cd (0.1733, 0.7500, 0.3467)  2 Cd 2.98, 4 Sm 3.30
Sm (0.7143, 0.2500, 0.4287)  7 Cd 3.30-3.38, 2 Sm 3.49
Sm (0.5739, 0.7500, 0.1479)  12 Cd 3.36-3.46, 2 Sm 3.49

Properties
- ΔE_f: -0.30 eV per atom
- Energy above the lowest structure with this stoichiometry: 0.0 meV per atom

---

Record 7
Material: SmCd2
Method: DFT, GGA-PBE
State: relaxed

abc: 3.4309 5.0580 5.0580
angles: 120.00 90.00 90.00
Last column: nearest neighbours and their distance in Å.
Positions (direct):
Cd (0.0000, 0.3333, 0.6667)  3 Cd 2.92
Cd (0.0000, 0.6667, 0.3333)  3 Cd 2.92
Sm (0.5000, 0.0000, 0.0000)  12 Cd 3.39, 2 Sm 3.43

Properties
- ΔE_f: -0.34 eV per atom

---

Record 8
Material: Sm7Cd
Method: DFT, GGA-PBE
State: relaxed

abc: 7.1130 7.1130 7.1130
angles: 60.00 60.00 60.00
Last column: nearest neighbours and their distance in Å.
Positions (direct):
Sm (0.0000, 0.5000, 0.5000)  10 Sm 3.56, 2 Cd 3.56
Sm (0.0000, 0.5000, 0.0000)  10 Sm 3.56, 2 Cd 3.56
Sm (0.5000, 0.5000, 0.0000)  10 Sm 3.56, 2 Cd 3.56
Sm (0.0000, 0.0000, 0.5000)  10 Sm 3.56, 2 Cd 3.56
Sm (0.5000, 0.0000, 0.5000)  10 Sm 3.56, 2 Cd 3.56
Sm (0.5000, 0.0000, 0.0000)  2 Cd 3.56, 10 Sm 3.56
Sm (0.5000, 0.5000, 0.5000)  12 Sm 3.56
Cd (0.0000, 0.0000, 0.0000)  12 Sm 3.56

Properties
- ΔE_f: -0.03 eV per atom

---

Record 9
Material: SmCd2
Method: DFT, GGA-PBE
State: relaxed

abc: 3.5506 3.5506 20.5546
angles: 110.12 110.12 120.07
Last column: nearest neighbours and their distance in Å.
Positions (direct):
Sm (0.8346, 0.1654, 0.2500)  6 Cd 3.30, 6 Sm 3.55
Sm (0.1654, 0.8346, 0.7500)  6 Cd 3.30, 6 Sm 3.55
Cd (0.8610, 0.5266, 0.4237)  3 Cd 3.05-3.07, 3 Sm 3.30
Cd (0.5266, 0.8610, 0.9237)  3 Cd 3.05-3.07, 3 Sm 3.30
Cd (0.1390, 0.4734, 0.5763)  3 Cd 3.05-3.07, 3 Sm 3.30
Cd (0.4734, 0.1390, 0.0763)  3 Cd 3.05-3.07, 3 Sm 3.30

Properties
- ΔE_f: -0.09 eV per atom

---

Record 10
Material: SmCd11
Method: DFT, GGA-PBE
State: relaxed

abc: 7.7602 9.2972 9.2972
angles: 79.97 65.33 65.33
Last column: nearest neighbours and their distance in Å.
Positions (direct):
Cd (0.9955, 0.6785, 0.9189)  7 Cd 2.87-3.09
Cd (0.0000, 0.0000, 0.0000)  12 Cd 3.14-3.22
Cd (0.8750, 0.7500, 0.2500)  10 Cd 2.93-3.14
Cd (0.0856, 0.3215, 0.9189)  7 Cd 2.87-3.09
Cd (0.1571, 0.4189, 0.1785)  7 Cd 2.87-3.09
Cd (0.7545, 0.5811, 0.8215)  7 Cd 2.87-3.09
Cd (0.9955, 0.9189, 0.6785)  7 Cd 2.87-3.09
Sm (0.5000, 0.0000, 0.0000)  18 Cd 3.61-3.88
Cd (0.8750, 0.2500, 0.2500)  10 Cd 2.93-3.14
Cd (0.3260, 0.0811, 0.6785)  7 Cd 2.87-3.09
Cd (0.3260, 0.6785, 0.0811)  7 Cd 2.87-3.09
Cd (0.4240, 0.4189, 0.8215)  7 Cd 2.87-3.09
Cd (0.0856, 0.9189, 0.3215)  7 Cd 2.87-3.09
Cd (0.3750, 0.7500, 0.7500)  10 Cd 2.93-3.14
Cd (0.7500, 0.5000, 0.5000)  12 Cd 3.14-3.22
Cd (0.1571, 0.1785, 0.4189)  7 Cd 2.87-3.09
Cd (0.5929, 0.3215, 0.0811)  7 Cd 2.87-3.09
Cd (0.6644, 0.5811, 0.1785)  7 Cd 2.87-3.09
Cd (0.8750, 0.2500, 0.7500)  10 Cd 2.93-3.14
Cd (0.7545, 0.8215, 0.5811)  7 Cd 2.87-3.09
Cd (0.4240, 0.8215, 0.4189)  7 Cd 2.87-3.09
Cd (0.6644, 0.1785, 0.5811)  7 Cd 2.87-3.09
Sm (0.2500, 0.5000, 0.5000)  18 Cd 3.61-3.88
Cd (0.5929, 0.0811, 0.3215)  7 Cd 2.87-3.09

Properties
- ΔE_f: -0.08 eV per atom
- Energy above the lowest structure with this stoichiometry: 51.7 meV per atom

---

Record 11
Material: SmCd2
Method: DFT, GGA-PBE
State: relaxed

abc: 3.4381 3.4381 6.8580
angles: 104.52 104.52 90.00
Last column: nearest neighbours and their distance in Å.
Positions (direct):
Cd (0.3239, 0.3239, 0.6479)  8 Cd 3.08-3.44, 4 Sm 3.32
Sm (0.0000, 0.0000, 0.0000)  8 Cd 3.32, 4 Sm 3.44
Cd (0.6761, 0.6761, 0.3521)  8 Cd 3.08-3.44, 4 Sm 3.32

Properties
- ΔE_f: -0.23 eV per atom

---

Record 12
Material: Sm6Cd5
Method: DFT, GGA-PBE
State: relaxed

abc: 5.2907 7.7155 8.3294
angles: 90.00 71.48 90.00
Last column: nearest neighbours and their distance in Å.
Positions (direct):
Sm (0.1611, 0.2457, 0.6778)  7 Cd 3.21-3.32
Sm (0.5000, 0.2431, 0.0000)  6 Cd 3.31-3.33, 4 Sm 3.67
Cd (0.3305, 0.5000, 0.3389)  8 Sm 3.30-3.33, 2 Cd 3.67
Cd (0.6729, 0.0000, 0.6542)  8 Sm 3.24-3.31, 2 Cd 3.60
Cd (0.3271, 0.0000, 0.3458)  8 Sm 3.24-3.31, 2 Cd 3.60
Cd (0.0000, 0.5000, 0.0000)  8 Sm 3.21-3.31
Sm (0.8389, 0.7543, 0.3222)  7 Cd 3.21-3.32
Cd (0.6695, 0.5000, 0.6611)  8 Sm 3.30-3.33, 2 Cd 3.67
Sm (0.1611, 0.7543, 0.6778)  7 Cd 3.21-3.32
Sm (0.8389, 0.2457, 0.3222)  7 Cd 3.21-3.32
Sm (0.5000, 0.7569, 0.0000)  6 Cd 3.31-3.33, 4 Sm 3.67

Properties
- ΔE_f: -0.22 eV per atom

---

Record 13
Material: SmCd4
Method: DFT, GGA-PBE
State: relaxed

abc: 6.0753 6.0753 6.0753
angles: 90.00 90.00 90.00
Last column: nearest neighbours and their distance in Å.
Positions (direct):
Cd (0.0000, 0.0000, 0.0000)  12 Cd 4.30
Cd (0.5000, 0.5000, 0.0000)  2 Sm 3.04
Cd (0.5000, 0.0000, 0.5000)  2 Sm 3.04
Sm (0.5000, 0.5000, 0.5000)  6 Cd 3.04
Cd (0.0000, 0.5000, 0.5000)  2 Sm 3.04

Properties
- ΔE_f: 0.67 eV per atom

---

| no. | DOS at the Fermi energy (states/eV per cell) | spin magnetization (μB per atom) |
| --- | --- | --- |
| 1 | 2.54 | 0.000 |
| 2 | 7.15 | 0.000 |
| 3 | 3.15 | 0.000 |
| 4 | 9.53 | 0.000 |
| 5 | 2.45 | 0.000 |
| 6 | 8.62 | 0.000 |
| 7 | 2.37 | 0.000 |
| 8 | 7.52 | 0.000 |
| 9 | 4.05 | 0.000 |
| 10 | 8.23 | 0.000 |
| 11 | 3.00 | 0.000 |
| 12 | 14.32 | 0.141 |
| 13 | 5.91 | 0.000 |